Entry 1:
A plane-wave DFT calculation with PBE-GGA was carried out for a relaxed structure of LaPm6Nd3Tm2.

Summary:
**Total magnetization**: 0.00 μB per cell
**N(E_F)**: 35.40 states/eV/cell
**Calculated formation energy**: 0.24 eV/f.u.
**Raw total energy**: -4.703 eV per atom

a = 6.3075 Å, b = 10.9219 Å, c = 12.0920 Å
α = 90.00°, β = 100.03°, γ = 90.00°
Space group C2/m (No. 12)
Asymmetric unit:
La (0.0000, 0.0000, 0.0000) x2
Pm (0.2479, 0.5000, 0.2478) x4
Pm (0.2502, 0.1674, 0.2476) x8
Nd (0.0000, 0.1672, 0.5000) x4
Nd (0.0000, 0.5000, 0.5000) x2
Tm (0.0000, 0.3334, 0.0000) x4

=====

Entry 2:
A plane-wave DFT calculation with PBE-GGA was carried out for a relaxed structure of La2PmNd5Tm.

Summary:
**Total magnetization**: 0.00 μB per cell
**N(E_F)**: 54.72 states/eV/cell
**Calculated formation energy**: 2.24 eV/f.u.
**Raw total energy**: -4.519 eV per atom

a = 8.7410 Å, b = 8.7410 Å, c = 16.6235 Å
α = 90.00°, β = 90.00°, γ = 90.00°
Space group I4/mcm (No. 140)
Asymmetric unit:
La (0.1204, 0.3796, 0.0000) x8
Pm (0.0000, 0.0000, 0.2500) x4
Nd (0.0000, 0.0000, 0.0000) x4
Nd (0.2201, 0.2799, 0.3564) x16
Tm (0.0000, 0.5000, 0.2500) x4

=====

Entry 3:
A plane-wave DFT calculation with PBE-GGA was carried out for a relaxed structure of LaPmNdTm2.

Summary:
**Total magnetization**: 0.00 μB per cell
**N(E_F)**: 29.95 states/eV/cell
**Calculated formation energy**: 1.68 eV/f.u.
**Raw total energy**: -4.342 eV per atom

a = 8.4718 Å, b = 11.6048 Å, c = 7.2259 Å
α = 90.00°, β = 90.00°, γ = 90.00°
Space group Cmcm (No. 63)
Asymmetric unit:
La (0.0000, 0.2330, 0.2500) x4
Pm (0.0000, 0.2200, 0.7500) x4
Nd (0.0000, 0.4991, 0.7500) x4
Tm (0.1866, 0.0000, 0.0000) x8

=====

Entry 4:
A plane-wave DFT calculation with PBE-GGA was carried out for a relaxed structure of LaPm2Nd5Tm.

Summary:
**Total magnetization**: 0.01 μB per cell
**N(E_F)**: 55.17 states/eV/cell
**Calculated formation energy**: 2.44 eV/f.u.
**Raw total energy**: -4.478 eV per atom

a = 8.9953 Å, b = 8.9953 Å, c = 15.7072 Å
α = 90.00°, β = 90.00°, γ = 90.00°
Space group I4/mcm (No. 140)
Asymmetric unit:
La (0.0000, 0.0000, 0.2500) x4
Pm (0.1160, 0.3840, 0.0000) x8
Nd (0.0000, 0.0000, 0.0000) x4
Nd (0.2078, 0.2922, 0.3630) x16
Tm (0.0000, 0.5000, 0.2500) x4

=====

Entry 5:
A plane-wave DFT calculation with PBE-GGA was carried out for a relaxed structure of La5Pm2NdTm.

Summary:
**Total magnetization**: 0.00 μB per cell
**N(E_F)**: 66.27 states/eV/cell
**Calculated formation energy**: 2.44 eV/f.u.
**Raw total energy**: -4.548 eV per atom

a = 9.1841 Å, b = 9.1841 Å, c = 15.2982 Å
α = 90.00°, β = 90.00°, γ = 90.00°
Space group I4/mcm (No. 140)
Asymmetric unit:
La (0.0000, 0.0000, 0.0000) x4
La (0.2098, 0.2902, 0.1400) x16
Pm (0.1134, 0.3866, 0.5000) x8
Nd (0.0000, 0.0000, 0.2500) x4
Tm (0.0000, 0.5000, 0.2500) x4

=====

Entry 6:
A plane-wave DFT calculation with PBE-GGA was carried out for a relaxed structure of LaPmNdTm.

Summary:
**Total magnetization**: 0.00 μB per cell
**N(E_F)**: 4.89 states/eV/cell
**Energy above the most stable polymorph in this dataset**: 0 meV/atom
**Calculated formation energy**: 0.10 eV/f.u.
**Raw total energy**: -4.704 eV per atom

a = 3.6542 Å, b = 3.6542 Å, c = 11.8271 Å
α = 90.00°, β = 90.00°, γ = 120.00°
Space group P3m1 (No. 156)
Asymmetric unit:
La (0.0000, 0.0000, 0.0000) x1
Pm (0.3333, 0.6667, 0.4895) x1
Nd (0.6667, 0.3333, 0.7408) x1
Tm (0.6667, 0.3333, 0.2489) x1

=====

Entry 7:
A plane-wave DFT calculation with PBE-GGA was carried out for a relaxed structure of La2PmNd3Tm6.

Summary:
**Total magnetization**: 0.00 μB per cell
**N(E_F)**: 25.28 states/eV/cell
**Calculated formation energy**: 0.21 eV/f.u.
**Raw total energy**: -4.628 eV per atom

a = 6.2487 Å, b = 10.8175 Å, c = 11.7549 Å
α = 90.00°, β = 100.19°, γ = 90.00°
Space group C2/m (No. 12)
Asymmetric unit:
La (0.0000, 0.1665, 0.0000) x4
Pm (0.0000, 0.5000, 0.0000) x2
Nd (0.0000, 0.0000, 0.5000) x2
Nd (0.0000, 0.3334, 0.5000) x4
Tm (0.2486, 0.5000, 0.7486) x4
Tm (0.2497, 0.1663, 0.7487) x8

=====

Entry 8:
A plane-wave DFT calculation with PBE-GGA was carried out for a relaxed structure of La6PmNd2Tm.

Summary:
**Total magnetization**: 0.00 μB per cell
**N(E_F)**: 49.37 states/eV/cell
**Calculated formation energy**: 1.09 eV/f.u.
**Raw total energy**: -4.724 eV per atom

a = 9.9211 Å, b = 15.3929 Å, c = 9.3085 Å
α = 90.00°, β = 90.22°, γ = 90.00°
Space group C2/c (No. 15)
Asymmetric unit:
La (0.0733, 0.1503, 0.4079) x8
La (0.0746, 0.3559, 0.5946) x8
La (0.2473, 0.2182, 0.8189) x8
Pm (0.0000, 0.0685, 0.7500) x4
Nd (0.2490, 0.4554, 0.9359) x8
Tm (0.0000, 0.4301, 0.2500) x4

=====

Entry 9:
A plane-wave DFT calculation with PBE-GGA was carried out for a relaxed structure of LaPm5NdTm2.

Summary:
**Total magnetization**: 0.00 μB per cell
**N(E_F)**: 55.98 states/eV/cell
**Calculated formation energy**: 1.36 eV/f.u.
**Raw total energy**: -4.559 eV per atom

a = 5.7044 Å, b = 20.2585 Å, c = 10.7271 Å
α = 90.00°, β = 90.00°, γ = 90.00°
Space group Cmc2_1 (No. 36)
Asymmetric unit:
La (0.0000, 0.0826, 0.0000) x4
Pm (0.0000, 0.0228, 0.2919) x4
Pm (0.0000, 0.1106, 0.5795) x4
Pm (0.0000, 0.2044, 0.2578) x4
Pm (0.0000, 0.2185, 0.8637) x4
Pm (0.0000, 0.4834, 0.5787) x4
Nd (0.0000, 0.2989, 0.5636) x4
Tm (0.0000, 0.3838, 0.8752) x4
Tm (0.0000, 0.3886, 0.2870) x4

=====

Entry 10:
A plane-wave DFT calculation with PBE-GGA was carried out for a relaxed structure of La2PmNd2Tm2.

Summary:
**Total magnetization**: 0.00 μB per cell
**N(E_F)**: 23.03 states/eV/cell
**Calculated formation energy**: 0.18 eV/f.u.
**Raw total energy**: -4.700 eV per atom

a = 11.5236 Å, b = 5.1547 Å, c = 8.1470 Å
α = 90.00°, β = 98.24°, γ = 90.00°
Space group C2/m (No. 12)
Asymmetric unit:
La (0.1440, 0.0000, 0.4289) x4
Pm (0.0000, 0.0000, 0.0000) x2
Nd (0.0711, 0.5000, 0.7207) x4
Tm (0.2161, 0.5000, 0.1380) x4

=====

Entry 11:
A plane-wave DFT calculation with PBE-GGA was carried out for a relaxed structure of LaPm2Nd2Tm2.

Summary:
**Total magnetization**: 0.00 μB per cell
**N(E_F)**: 24.08 states/eV/cell
**Calculated formation energy**: 0.61 eV/f.u.
**Raw total energy**: -4.614 eV per atom

a = 11.7995 Å, b = 3.5661 Å, c = 12.0561 Å
α = 90.00°, β = 109.56°, γ = 90.00°
Space group C2/m (No. 12)
Asymmetric unit:
La (0.0000, 0.0000, 0.0000) x2
Pm (0.0518, 0.5000, 0.2712) x4
Nd (0.1679, 0.5000, 0.5834) x4
Tm (0.2238, 0.0000, 0.8633) x4

=====

Entry 12:
A plane-wave DFT calculation with PBE-GGA was carried out for a relaxed structure of La4PmNd2Tm.

Summary:
**Total magnetization**: 0.00 μB per cell
**N(E_F)**: 14.66 states/eV/cell
**Calculated formation energy**: 0.72 eV/f.u.
**Raw total energy**: -4.719 eV per atom

a = 6.0880 Å, b = 6.0906 Å, c = 7.6368 Å
α = 90.00°, β = 90.00°, γ = 90.00°
Space group P2/m (No. 10)
Asymmetric unit:
La (0.0013, 0.0000, 0.2597) x2
La (0.4979, 0.5000, 0.2565) x2
Pm (0.5000, 0.0000, 0.0000) x1
Nd (0.0000, 0.5000, 0.0000) x1
Nd (0.5000, 0.0000, 0.5000) x1
Tm (0.0000, 0.5000, 0.5000) x1